# 1
Compound: LaPmTm2
Source: Alexandria
Functional: PBE
Structure: relaxed

Cell lengths 3.613, 3.613, 11.786 Å; angles 81.18, 81.18, 60.00 degrees
Fractional positions:
1 La 0.666 0.666 0.001
2 Pm 0.501 0.501 0.498
3 Tm 0.084 0.084 0.749
4 Tm 0.249 0.249 0.252

Output
As for the volume: 32.78 Å³/atom. For the formation energy from the elements, the calculation gives 0.024 eV/atom. The energy above the most stable polymorph in this dataset is 6 meV per atom. The density of states at the Fermi level is 6.131 states/eV per cell.



# 2
Compound: La8Pm6Tm
Source: Alexandria
Functional: PBE
Structure: relaxed

Cell lengths 8.909, 8.909, 8.909 Å; angles 63.15, 63.15, 63.15 degrees
Fractional positions:
1 La 0.114 0.712 0.753
2 La 0.247 0.886 0.288
3 La 0.288 0.247 0.886
4 La 0.578 0.578 0.578
5 La 0.422 0.422 0.422
6 La 0.712 0.753 0.114
7 La 0.753 0.114 0.712
8 La 0.886 0.288 0.247
9 Pm 0.905 0.459 0.753
10 Pm 0.247 0.095 0.541
11 Pm 0.541 0.247 0.095
12 Pm 0.459 0.753 0.905
13 Pm 0.753 0.905 0.459
14 Pm 0.095 0.541 0.247
15 Tm 0.000 0.000 0.000

Output
As for the volume: 35.65 Å³/atom. For the formation energy from the elements, the calculation gives 0.103 eV/atom. The density of states at the Fermi level is 24.974 states/eV per cell.



# 3
Compound: LaPm8Tm2
Source: Alexandria
Functional: PBE
Structure: relaxed

Cell lengths 5.644, 10.379, 10.379 Å; angles 39.89, 92.99, 92.99 degrees
Fractional positions:
1 La 0.000 0.000 0.000
2 Pm 0.268 0.135 0.595
3 Pm 0.268 0.595 0.135
4 Pm 0.732 0.865 0.405
5 Pm 0.240 0.545 0.545
6 Pm 0.732 0.405 0.865
7 Pm 0.233 0.189 0.189
8 Pm 0.767 0.811 0.811
9 Pm 0.760 0.455 0.455
10 Tm 0.747 0.285 0.285
11 Tm 0.253 0.715 0.715

Output
As for the volume: 35.39 Å³/atom. For the formation energy from the elements, the calculation gives 0.131 eV/atom. The energy above the most stable polymorph in this dataset is 20 meV per atom. The density of states at the Fermi level is 16.571 states/eV per cell.



# 4
Compound: La4PmTm6
Source: Alexandria
Functional: PBE
Structure: relaxed

Cell lengths 9.702, 9.702, 9.702 Å; angles 59.00, 139.24, 139.24 degrees
Fractional positions:
1 La 0.000 0.633 0.014
2 La 0.380 0.367 0.367
3 La 0.000 0.014 0.633
4 La 0.620 0.986 0.986
5 Pm 0.000 0.000 0.000
6 Tm 0.000 0.793 0.443
7 Tm 0.000 0.443 0.793
8 Tm 0.350 0.557 0.557
9 Tm 0.500 0.500 0.000
10 Tm 0.650 0.207 0.207
11 Tm 0.500 0.000 0.500

Output
As for the volume: 35.05 Å³/atom. For the formation energy from the elements, the calculation gives 0.298 eV/atom. The density of states at the Fermi level is 14.745 states/eV per cell.



# 5
Compound: LaPm12Tm6
Source: Alexandria
Functional: PBE
Structure: relaxed

Cell lengths 8.636, 8.636, 8.636 Å; angles 88.74, 88.74, 88.74 degrees
Fractional positions:
1 La 0.000 0.000 0.000
2 Pm 0.780 0.538 0.433
3 Pm 0.433 0.780 0.538
4 Pm 0.538 0.433 0.780
5 Pm 0.220 0.462 0.567
6 Pm 0.567 0.220 0.462
7 Pm 0.462 0.567 0.220
8 Pm 0.016 0.198 0.363
9 Pm 0.802 0.637 0.984
10 Pm 0.637 0.984 0.802
11 Pm 0.984 0.802 0.637
12 Pm 0.198 0.363 0.016
13 Pm 0.363 0.016 0.198
14 Tm 0.741 0.900 0.301
15 Tm 0.699 0.259 0.100
16 Tm 0.100 0.699 0.259
17 Tm 0.259 0.100 0.699
18 Tm 0.301 0.741 0.900
19 Tm 0.900 0.301 0.741

Output
As for the volume: 33.87 Å³/atom. For the formation energy from the elements, the calculation gives 0.134 eV/atom. The energy above the most stable polymorph in this dataset is 0 meV per atom. The density of states at the Fermi level is 32.378 states/eV per cell.



# 6
Compound: LaPm4Tm
Source: Alexandria
Functional: PBE
Structure: relaxed

Cell lengths 3.648, 6.290, 9.640 Å; angles 83.69, 79.09, 106.72 degrees
Fractional positions:
1 La 0.997 0.001 0.502
2 Pm 0.160 0.498 0.674
3 Pm 0.835 0.504 0.330
4 Pm 0.669 0.007 0.164
5 Pm 0.326 0.996 0.839
6 Tm 0.497 0.501 0.002

Output
As for the volume: 34.14 Å³/atom. For the formation energy from the elements, the calculation gives 0.020 eV/atom. The energy above the most stable polymorph in this dataset is 0 meV per atom. The density of states at the Fermi level is 9.054 states/eV per cell.